(1)
! InAg4Au (PBE-GGA, relaxed); values from VASP
&SYSTEM
  ibrav = 0, nat = 6, ntyp = 3
/
ATOMIC_SPECIES
In 114.82 In.upf
Ag 107.87 Ag.upf
Au 196.97 Au.upf
CELL_PARAMETERS angstrom
0.000 3.915 3.915
3.915 0.000 3.915
3.915 3.915 0.000
ATOMIC_POSITIONS angstrom
In 0.000 0.000 0.000
Ag 4.892 2.937 2.937
Ag 2.937 4.892 2.937
Ag 2.937 2.937 4.892
Ag 4.892 4.892 4.892
Au 1.957 1.957 1.957
! DFT formation energy ... 101.7 meV per atom
! Magnetic moment ... 0.000 μB/cell
! ΔE to the lowest computed polymorph ... 0.151 eV per atom
! Space group ... F-43m

---

(2)
! In4AgAu5 (PBE-GGA, relaxed); values from VASP
&SYSTEM
  ibrav = 0, nat = 10, ntyp = 3
/
ATOMIC_SPECIES
In 114.82 In.upf
Ag 107.87 Ag.upf
Au 196.97 Au.upf
CELL_PARAMETERS angstrom
5.676 0.000 0.000
1.031 6.055 0.000
1.561 2.627 6.225
ATOMIC_POSITIONS angstrom
In 0.000 0.000 0.000
In 2.672 6.874 2.627
In 4.262 5.487 4.985
In 4.347 3.677 1.388
Ag 5.794 3.160 3.807
Au 1.511 3.438 1.261
Au 2.956 3.150 3.807
Au 2.837 0.241 0.127
Au 5.527 6.412 2.588
Au 7.083 5.951 5.025
! DFT formation energy ... -129.3 meV per atom
! Magnetic moment ... 0.000 μB/cell
! Space group ... P1

---

(3)
! In2Ag12Au5 (PBE-GGA, relaxed); values from VASP
&SYSTEM
  ibrav = 0, nat = 19, ntyp = 3
/
ATOMIC_SPECIES
In 114.82 In.upf
Ag 107.87 Ag.upf
Au 196.97 Au.upf
CELL_PARAMETERS angstrom
6.428 -4.162 0.000
6.428 4.162 0.000
-1.007 0.000 6.949
ATOMIC_POSITIONS angstrom
In 6.428 2.172 0.000
In 6.428 -2.172 0.000
Ag 3.108 1.535 1.299
Ag 0.777 0.000 6.028
Ag 4.504 1.816 3.964
Ag 7.346 1.816 2.985
Ag 3.108 -1.535 1.299
Ag 5.448 0.000 1.971
Ag 6.401 0.000 4.978
Ag 8.741 1.535 5.650
Ag 4.504 -1.816 3.964
Ag 7.346 -1.816 2.985
Ag 11.072 0.000 0.921
Ag 8.741 -1.535 5.650
Au -0.503 0.000 3.475
Au 2.354 0.000 3.621
Au 3.644 0.000 6.185
Au 8.205 0.000 0.764
Au 9.495 0.000 3.328
! DFT formation energy ... 29.3 meV per atom
! Magnetic moment ... 0.000 μB/cell
! ΔE to the lowest computed polymorph ... 0.054 eV per atom
! Space group ... C2/m

---

(4)
! In2AgAu (PBE-GGA, relaxed); values from VASP
&SYSTEM
  ibrav = 0, nat = 4, ntyp = 3
/
ATOMIC_SPECIES
In 114.82 In.upf
Ag 107.87 Ag.upf
Au 196.97 Au.upf
CELL_PARAMETERS angstrom
4.590 -1.864 0.000
4.590 1.864 0.000
-0.989 0.000 5.062
ATOMIC_POSITIONS angstrom
In 2.020 0.000 1.251
In 6.170 0.000 3.811
Ag -0.495 0.000 2.531
Au 4.590 0.000 0.000
! DFT formation energy ... -51.5 meV per atom
! Magnetic moment ... 0.000 μB/cell
! Space group ... C2/m

---

(5)
! In6Ag12Au (PBE-GGA, relaxed); values from VASP
&SYSTEM
  ibrav = 0, nat = 19, ntyp = 3
/
ATOMIC_SPECIES
In 114.82 In.upf
Ag 107.87 Ag.upf
Au 196.97 Au.upf
CELL_PARAMETERS angstrom
5.139 2.967 4.148
-5.139 2.967 4.148
0.000 -5.934 4.148
ATOMIC_POSITIONS angstrom
In -2.797 0.660 5.589
In -1.971 -2.092 6.855
In 0.827 -2.753 5.589
In -0.827 2.753 6.855
In 1.971 2.092 5.589
In 2.797 -0.660 6.855
Ag -1.347 -4.684 5.299
Ag -4.730 -1.175 7.145
Ag -1.187 -1.189 3.801
Ag -3.383 3.509 5.299
Ag -0.436 1.622 3.801
Ag 1.623 -0.433 3.801
Ag -1.623 0.433 8.643
Ag 0.436 -1.622 8.643
Ag 3.383 -3.509 7.145
Ag 1.187 1.189 8.643
Ag 4.730 1.175 5.299
Ag 1.347 4.684 7.145
Au 0.000 0.000 6.222
! DFT formation energy ... 6.1 meV per atom
! Magnetic moment ... 0.000 μB/cell
! Space group ... R-3

---

(6)
! InAg2Au (PBE-GGA, relaxed); values from VASP
&SYSTEM
  ibrav = 0, nat = 4, ntyp = 3
/
ATOMIC_SPECIES
In 114.82 In.upf
Ag 107.87 Ag.upf
Au 196.97 Au.upf
CELL_PARAMETERS angstrom
3.093 0.000 0.000
0.000 3.093 0.000
0.000 0.000 8.078
ATOMIC_POSITIONS angstrom
In 0.000 0.000 0.000
Ag 1.546 1.546 2.116
Ag 1.546 1.546 5.963
Au 0.000 0.000 4.039
! DFT formation energy ... 4.1 meV per atom
! Magnetic moment ... 0.000 μB/cell
! Space group ... P4/mmm

---

(7)
! InAg2Au2 (PBE-GGA, relaxed); values from VASP
&SYSTEM
  ibrav = 0, nat = 10, ntyp = 3
/
ATOMIC_SPECIES
In 114.82 In.upf
Ag 107.87 Ag.upf
Au 196.97 Au.upf
CELL_PARAMETERS angstrom
4.934 -2.285 0.000
4.934 2.285 0.000
-1.548 0.000 8.358
ATOMIC_POSITIONS angstrom
In 2.046 0.000 2.171
In 6.275 0.000 6.187
Ag 1.957 0.000 8.004
Ag 3.396 0.000 5.434
Ag 4.924 0.000 2.924
Ag 6.363 0.000 0.355
Au -0.886 0.000 7.128
Au 0.560 0.000 4.679
Au 7.760 0.000 3.680
Au 9.206 0.000 1.231
! DFT formation energy ... -79.1 meV per atom
! Magnetic moment ... 0.000 μB/cell
! ΔE to the lowest computed polymorph ... 0.029 eV per atom
! Space group ... C2/m

---

(8)
! InAg3Au12 (PBE-GGA, relaxed); values from VASP
&SYSTEM
  ibrav = 0, nat = 16, ntyp = 3
/
ATOMIC_SPECIES
In 114.82 In.upf
Ag 107.87 Ag.upf
Au 196.97 Au.upf
CELL_PARAMETERS angstrom
4.213 0.000 0.000
0.000 4.213 0.000
0.000 0.000 16.408
ATOMIC_POSITIONS angstrom
In 0.000 0.000 0.000
Ag 0.000 0.000 4.160
Ag 0.000 0.000 8.204
Ag 0.000 0.000 12.247
Au 0.000 2.107 2.105
Au 0.000 2.107 6.179
Au 0.000 2.107 10.228
Au 0.000 2.107 14.303
Au 2.107 0.000 2.105
Au 2.107 0.000 6.179
Au 2.107 0.000 10.228
Au 2.107 0.000 14.303
Au 2.107 2.107 0.000
Au 2.107 2.107 4.148
Au 2.107 2.107 8.204
Au 2.107 2.107 12.260
! DFT formation energy ... -51.8 meV per atom
! Magnetic moment ... 0.000 μB/cell
! Space group ... P4/mmm